# Er4Sn2N (PBE, optimized geometry)
# Spin magnetization in μB per atom: 0.0168
# Relative energy among the computed polymorphs in eV/atom: 0.247
# DFT total energy in eV for the cell shown: -79.4
# Formation energy without anion corrections in eV/atom: -0.73
data_Er4Sn2N
_chemical_formula_sum 'Er8 Sn4 N2'
_cell_length_a 16.7627
_cell_length_b 3.5087
_cell_length_c 6.1116
_cell_angle_alpha 90.00
_cell_angle_beta 110.69
_cell_angle_gamma 90.00
_symmetry_space_group_name_H-M 'C 1 2/m 1'
_symmetry_Int_Tables_number 12
loop_
_symmetry_equiv_pos_as_xyz
'x,y,z'
'-x,-y,-z'
'-x,y,-z'
'x,-y,z'
'x+1/2,y+1/2,z'
'-x+1/2,-y+1/2,-z'
'-x+1/2,y+1/2,-z'
'x+1/2,-y+1/2,z'
loop_
_atom_site_label
_atom_site_fract_x
_atom_site_fract_y
_atom_site_fract_z
Er1 0.0810 0.0000 0.2474
Er2 0.0947 0.5000 0.7885
Sn1 0.2489 0.5000 0.2726
N1 0.0000 0.5000 0.0000


# Er2SnN (PBE, optimized geometry)
# Spin magnetization in μB per atom: 0.0000
# DFT total energy in eV for the cell shown: -23.8
# Formation energy without anion corrections in eV/atom: -0.59
data_Er2SnN
_chemical_formula_sum 'Er2 Sn1 N1'
_cell_length_a 3.1217
_cell_length_b 3.1217
_cell_length_c 7.6944
_cell_angle_alpha 90.00
_cell_angle_beta 90.00
_cell_angle_gamma 90.00
_symmetry_space_group_name_H-M 'P 4/m m m'
_symmetry_Int_Tables_number 123
_symmetry_space_group_name_Hall '-P 4 2'
loop_
_atom_site_label
_atom_site_fract_x
_atom_site_fract_y
_atom_site_fract_z
Er1 0.0000 0.0000 0.1851
Sn1 0.5000 0.5000 0.5000
N1 0.5000 0.5000 0.0000


# Er2SnN (PBE, optimized geometry)
# Spin magnetization in μB per atom: 0.0000
# DFT total energy in eV for the cell shown: -78.7
# Formation energy without anion corrections in eV/atom: -1.19
data_Er2SnN
_chemical_formula_sum 'Er6 Sn3 N3'
_cell_length_a 3.5003
_cell_length_b 3.5003
_cell_length_c 22.8944
_cell_angle_alpha 90.00
_cell_angle_beta 90.00
_cell_angle_gamma 120.00
_symmetry_space_group_name_H-M 'R -3 m'
_symmetry_Int_Tables_number 166
_symmetry_space_group_name_Hall '-R 3 2"'
loop_
_atom_site_label
_atom_site_fract_x
_atom_site_fract_y
_atom_site_fract_z
Er1 0.0000 0.0000 0.2234
Sn1 0.0000 0.0000 0.0000
N1 0.0000 0.0000 0.5000


# Er6Sn2N (PBE, optimized geometry)
# Spin magnetization in μB per atom: 0.1139
# DFT total energy in eV for the cell shown: -91.4
# Formation energy without anion corrections in eV/atom: -0.22
data_Er6Sn2N
_chemical_formula_sum 'Er12 Sn4 N2'
_cell_length_a 14.4346
_cell_length_b 6.8186
_cell_length_c 5.5120
_cell_angle_alpha 90.00
_cell_angle_beta 112.29
_cell_angle_gamma 90.00
_symmetry_space_group_name_H-M 'C 1 2/m 1'
_symmetry_Int_Tables_number 12
loop_
_symmetry_equiv_pos_as_xyz
'x,y,z'
'-x,-y,-z'
'-x,y,-z'
'x,-y,z'
'x+1/2,y+1/2,z'
'-x+1/2,-y+1/2,-z'
'-x+1/2,y+1/2,-z'
'x+1/2,-y+1/2,z'
loop_
_atom_site_label
_atom_site_fract_x
_atom_site_fract_y
_atom_site_fract_z
Er1 0.0000 0.2493 0.0000
Er2 0.1251 0.2539 0.6241
Sn1 0.1868 0.0000 0.1851
N1 0.0000 0.5000 0.5000


# Er4Sn2N (PBE, optimized geometry)
# Spin magnetization in μB per atom: 0.0001
# Relative energy among the computed polymorphs in eV/atom: 0.000
# DFT total energy in eV for the cell shown: -82.9
# Formation energy without anion corrections in eV/atom: -0.98
data_Er4Sn2N
_chemical_formula_sum 'Er8 Sn4 N2'
_cell_length_a 4.6576
_cell_length_b 4.6576
_cell_length_c 15.8153
_cell_angle_alpha 90.00
_cell_angle_beta 90.00
_cell_angle_gamma 90.00
_symmetry_space_group_name_H-M 'I 4/m m m'
_symmetry_Int_Tables_number 139
_symmetry_space_group_name_Hall '-I 4 2'
loop_
_atom_site_label
_atom_site_fract_x
_atom_site_fract_y
_atom_site_fract_z
Er1 0.0000 0.0000 0.1587
Er2 0.0000 0.5000 0.0000
Sn1 0.0000 0.0000 0.3574
N1 0.0000 0.0000 0.0000


# SrEr2SnN4 (PBE, optimized geometry)
# Spin magnetization in μB per atom: 0.0000
# DFT total energy in eV for the cell shown: -222.4
# Formation energy without anion corrections in eV/atom: -0.94
data_SrEr2SnN4
_chemical_formula_sum 'Sr4 Er8 Sn4 N16'
_cell_length_a 3.4669
_cell_length_b 12.0546
_cell_length_c 12.2013
_cell_angle_alpha 90.00
_cell_angle_beta 90.00
_cell_angle_gamma 90.00
_symmetry_space_group_name_H-M 'C m c m'
_symmetry_Int_Tables_number 63
_symmetry_space_group_name_Hall '-C 2c 2'
loop_
_atom_site_label
_atom_site_fract_x
_atom_site_fract_y
_atom_site_fract_z
Sr1 0.0000 0.1080 0.2500
Er1 0.0000 0.3705 0.0309
Sn1 0.0000 0.1575 0.7500
N1 0.0000 0.0000 0.0000
N2 0.0000 0.2564 0.6134
N3 0.0000 0.4426 0.2500


Please write out number 6 again, unchanged.
# SrEr2SnN4 (PBE, optimized geometry)
# Spin magnetization in μB per atom: 0.0000
# DFT total energy in eV for the cell shown: -222.4
# Formation energy without anion corrections in eV/atom: -0.94
data_SrEr2SnN4
_chemical_formula_sum 'Sr4 Er8 Sn4 N16'
_cell_length_a 3.4669
_cell_length_b 12.0546
_cell_length_c 12.2013
_cell_angle_alpha 90.00
_cell_angle_beta 90.00
_cell_angle_gamma 90.00
_symmetry_space_group_name_H-M 'C m c m'
_symmetry_Int_Tables_number 63
_symmetry_space_group_name_Hall '-C 2c 2'
loop_
_atom_site_label
_atom_site_fract_x
_atom_site_fract_y
_atom_site_fract_z
Sr1 0.0000 0.1080 0.2500
Er1 0.0000 0.3705 0.0309
Sn1 0.0000 0.1575 0.7500
N1 0.0000 0.0000 0.0000
N2 0.0000 0.2564 0.6134
N3 0.0000 0.4426 0.2500


Please write out number 5 again, unchanged.
# Er4Sn2N (PBE, optimized geometry)
# Spin magnetization in μB per atom: 0.0001
# Relative energy among the computed polymorphs in eV/atom: 0.000
# DFT total energy in eV for the cell shown: -82.9
# Formation energy without anion corrections in eV/atom: -0.98
data_Er4Sn2N
_chemical_formula_sum 'Er8 Sn4 N2'
_cell_length_a 4.6576
_cell_length_b 4.6576
_cell_length_c 15.8153
_cell_angle_alpha 90.00
_cell_angle_beta 90.00
_cell_angle_gamma 90.00
_symmetry_space_group_name_H-M 'I 4/m m m'
_symmetry_Int_Tables_number 139
_symmetry_space_group_name_Hall '-I 4 2'
loop_
_atom_site_label
_atom_site_fract_x
_atom_site_fract_y
_atom_site_fract_z
Er1 0.0000 0.0000 0.1587
Er2 0.0000 0.5000 0.0000
Sn1 0.0000 0.0000 0.3574
N1 0.0000 0.0000 0.0000